(1)
## TmGe4O9 (GGA-PBE)

Data for an optimized crystal structure of TmGe4O9.

The space group is C2 (No. 5) and the conventional cell measures 6.841, 10.980 and 4.851 Å, with angles of 90.00, 114.27 and 90.00 degrees. The distinct sites, in fractional coordinates, are Tm at (0.000, 0.000, 0.000), Ge at (0.000, 0.546, 0.500), Ge at (0.000, 0.695, 0.000), Ge at (0.201, 0.302, 0.314), O at (0.000, 0.217, 0.000), O at (0.122, 0.831, 0.869), O at (0.158, 0.573, 0.905), O at (0.192, 0.678, 0.419) and O at (0.225, 0.442, 0.526).

The total energy comes out at -6.649 eV/atom. As for the spin magnetization: 0.0 Bohr magnetons per cell. The value obtained for the theoretical density is 6.034 g/cm3.


(2)
## TlTe2WAuS (GGA-PBE)

Data for an optimized crystal structure of TlTe2WAuS.

The space group is Cmcm (No. 63) and the conventional cell measures 4.030, 16.519 and 9.849 Å, with angles of 90.00, 90.00 and 90.00 degrees. The distinct sites, in fractional coordinates, are Tl at (0.000, 0.219, 0.250), Te at (0.000, 0.377, 0.503), W at (0.000, 0.000, 0.000), Au at (0.000, 0.448, 0.750) and S at (0.000, 0.043, 0.750).

The total energy comes out at -4.691 eV/atom. As for the spin magnetization: 7.8 Bohr magnetons per cell. The value obtained for the theoretical density is 8.838 g/cm3.


(3)
## TbGeSb (GGA-PBE)

Data for an optimized crystal structure of TbGeSb.

The space group is I4/mmm (No. 139) and the conventional cell measures 4.592, 4.592 and 14.336 Å, with angles of 90.00, 90.00 and 90.00 degrees. The distinct sites, in fractional coordinates, are Tb at (0.000, 0.000, 0.133), Ge at (0.000, 0.500, 0.000) and Sb at (0.000, 0.000, 0.352).

The total energy comes out at -5.102 eV/atom. As for the spin magnetization: 0.0 Bohr magnetons per cell. The value obtained for the theoretical density is 7.763 g/cm3.


(4)
## Er4InSnN2 (GGA-PBE)

Data for an optimized crystal structure of Er4InSnN2.

The space group is P-6m2 (No. 187) and the conventional cell measures 3.4859, 3.4859 and 15.4239 Å, with angles of 90.00, 90.00 and 120.00 degrees. The distinct sites, in fractional coordinates, are Er at (0.0000, 0.0000, 0.1625), Er at (0.3333, 0.6667, 0.3318), In at (0.0000, 0.0000, 0.5000), Sn at (0.3333, 0.6667, 0.0000) and N at (0.6667, 0.3333, 0.2462).

The total energy comes out at -6.336 eV/atom. As for the spin magnetization: 0.0 Bohr magnetons per cell. The value obtained for the theoretical density is 9.520 g/cm3.


(5)
## LuSc2Si4Ag4 (GGA-PBE)

Data for an optimized crystal structure of LuSc2Si4Ag4.

The space group is Immm (No. 71) and the conventional cell measures 4.096, 6.970 and 13.734 Å, with angles of 90.00, 90.00 and 90.00 degrees. The distinct sites, in fractional coordinates, are Lu at (0.000, 0.000, 0.000), Sc at (0.000, 0.500, 0.121), Si at (0.000, 0.000, 0.219), Si at (0.000, 0.173, 0.500) and Ag at (0.000, 0.300, 0.331).

The total energy comes out at -4.982 eV/atom. As for the spin magnetization: 0.0 Bohr magnetons per cell. The value obtained for the theoretical density is 6.850 g/cm3.


(6)
## PrCd2Ag4 (GGA-PBE)

Data for an optimized crystal structure of PrCd2Ag4.

The space group is I4/mmm (No. 139) and the conventional cell measures 7.279, 7.279 and 5.616 Å, with angles of 90.00, 90.00 and 90.00 degrees. The distinct sites, in fractional coordinates, are Pr at (0.000, 0.000, 0.000), Cd at (0.000, 0.500, 0.250) and Ag at (0.193, 0.193, 0.500).

The total energy comes out at -2.772 eV/atom. As for the spin magnetization: 0.0 Bohr magnetons per cell. The value obtained for the theoretical density is 8.899 g/cm3. The calculation puts the formation energy at -0.2207 eV per atom.


spin magnetization of number 1 (TmGe4O9)? 0.0 Bohr magnetons per cell